(1)
Computed, not measured: crystalline Y2Al6Pd9 at its relaxed geometry at the PBE-GGA level of DFT.

Cell: 5.569 5.569 11.884 Å, 90.00 90.00 120.00°
Sites, in units of the cell vectors:
Y1 0.000 0.000 0.197
Y2 0.000 0.000 0.803
Al1 0.333 0.667 0.164
Al2 0.333 0.667 0.500
Al3 0.333 0.667 0.836
Al4 0.667 0.333 0.164
Al5 0.667 0.333 0.500
Al6 0.667 0.333 0.836
Pd1 0.000 0.500 0.000
Pd2 0.000 0.500 0.331
Pd3 0.000 0.500 0.669
Pd4 0.500 0.000 0.000
Pd5 0.500 0.000 0.331
Pd6 0.500 0.000 0.669
Pd7 0.500 0.500 0.000
Pd8 0.500 0.500 0.331
Pd9 0.500 0.500 0.669

Properties
ΔE_f, eV per atom: -0.745

=====

(2)
Computed, not measured: crystalline Y3AlPd2 at its relaxed geometry at the PBE-GGA level of DFT.

Cell: 3.513 3.513 10.920 Å, 90.00 90.00 90.00°
Sites, in units of the cell vectors:
Y1 0.000 0.000 0.000
Y2 0.000 0.000 0.324
Y3 0.000 0.000 0.676
Al1 0.500 0.500 0.500
Pd1 0.500 0.500 0.165
Pd2 0.500 0.500 0.835

Properties
ΔE_f, eV per atom: -0.722

=====

(3)
Computed, not measured: crystalline YAlPd2 at its relaxed geometry at the PBE-GGA level of DFT.

Cell: 4.605 4.605 3.451 Å, 90.00 90.00 90.00°
Sites, in units of the cell vectors:
Y1 0.000 0.000 0.000
Al1 0.500 0.500 0.000
Pd1 0.000 0.500 0.500
Pd2 0.500 0.000 0.500

Properties
ΔE_f, eV per atom: -0.751